First-principles (PBE) data for EuPaOs2 after structural relaxation, as listed in the Alexandria database.

```
EuPaOs2
1.0
3.556 0.000 0.000
-1.778 3.079 0.000
0.000 0.000 24.628
Eu Pa Os
3 3 6
direct
0.000 0.000 0.000
0.333 0.667 0.667
0.667 0.333 0.333
0.000 0.000 0.500
0.333 0.667 0.167
0.667 0.333 0.833
0.000 0.000 0.240
0.000 0.000 0.760
0.333 0.667 0.427
0.333 0.667 0.906
0.667 0.333 0.094
0.667 0.333 0.573
```

Results
The volume is 269.7 Å³ per cell. The value obtained for the total magnetization is 6.94 μB per formula unit. The formation energy comes out at 0.2958 eV/atom.